1.
First-principles (PBE) data for an optimized crystal structure of KAsSe2Cl, as listed in Alexandria.

POSCAR file:
```
KAsSe2Cl
1.0
5.411 0.000 0.000
0.000 5.411 0.000
0.000 0.000 4.968
K As Se Cl
1 1 2 1
Direct
0.000 0.000 0.000
0.500 0.500 0.000
0.000 0.500 0.500
0.500 0.000 0.500
0.500 0.500 0.500
```

Results
**Space group**: P4/mmm (123)
**D(E_F)**: 3.8 states/eV/cell
**M_tot**: 1.949 Bohr magnetons per cell
**Final energy**: -12.8 eV per cell
**Formation energy (no corrections)**: 0.346 eV per atom



2.
First-principles (PBE) data for an optimized crystal structure of KAs2SeCl, as listed in Alexandria.

POSCAR file:
```
KAs2SeCl
1.0
6.511 0.000 0.000
0.000 6.511 0.000
0.000 0.000 5.990
K As Se Cl
1 2 1 1
Direct
0.000 0.000 0.000
0.000 0.500 0.000
0.500 0.000 0.000
0.000 0.000 0.500
0.500 0.500 0.500
```

Results
**Space group**: P4/mmm (123)
**D(E_F)**: 12.8 states/eV/cell
**M_tot**: 6.008 Bohr magnetons per cell
**Final energy**: -9.3 eV per cell
**Formation energy (no corrections)**: 1.293 eV per atom



3.
First-principles (PBE) data for an optimized crystal structure of KAs2SeCl, as listed in Alexandria.

POSCAR file:
```
KAs2SeCl
1.0
5.095 0.000 0.000
0.000 5.095 0.000
0.000 0.000 5.370
K As Se Cl
1 2 1 1
Direct
0.000 0.000 0.000
0.000 0.500 0.500
0.500 0.000 0.500
0.500 0.500 0.000
0.500 0.500 0.500
```

Results
**Space group**: P4/mmm (123)
**D(E_F)**: 3.6 states/eV/cell
**M_tot**: 1.312 Bohr magnetons per cell
**Final energy**: -13.4 eV per cell
**Formation energy (no corrections)**: 0.474 eV per atom



4.
First-principles (PBE) data for an optimized crystal structure of KSiAs2Cl, as listed in Alexandria.

POSCAR file:
```
KSiAs2Cl
1.0
4.694 0.000 0.000
0.000 4.694 0.000
0.000 0.000 6.533
K Si As Cl
1 1 2 1
Direct
0.000 0.000 0.000
0.500 0.500 0.500
0.000 0.500 0.500
0.500 0.000 0.500
0.500 0.500 0.000
```

Results
**Space group**: P4/mmm (123)
**D(E_F)**: 1.7 states/eV/cell
**M_tot**: 0.000 Bohr magnetons per cell
**Final energy**: -18.3 eV per cell
**Formation energy (no corrections)**: -0.136 eV per atom



5.
First-principles (PBE) data for an optimized crystal structure of KSn2AsCl8, as listed in Alexandria.

POSCAR file:
```
KSn2AsCl8
1.0
6.445 0.000 0.000
-0.334 6.828 0.000
-0.032 -0.470 8.638
K Sn As Cl
1 2 1 8
Direct
0.000 0.000 0.000
0.484 0.525 0.258
0.516 0.475 0.742
0.000 0.000 0.500
0.207 0.179 0.302
0.227 0.706 0.465
0.245 0.138 0.714
0.286 0.642 0.024
0.714 0.358 0.976
0.755 0.862 0.286
0.773 0.294 0.535
0.793 0.821 0.698
```

Results
**Space group**: P-1 (2)
**D(E_F)**: 0.0 states/eV/cell
**M_tot**: 0.000 Bohr magnetons per cell
**Final energy**: -40.8 eV per cell
**Formation energy (no corrections)**: -1.025 eV per atom



6.
First-principles (PBE) data for an optimized crystal structure of KSrAsCl6, as listed in Alexandria.

POSCAR file:
```
KSrAsCl6
1.0
7.133 0.000 0.000
-3.567 6.178 0.000
0.000 0.000 6.800
K Sr As Cl
1 1 1 6
Direct
0.000 0.000 0.000
0.333 0.667 0.500
0.667 0.333 0.500
0.384 0.040 0.717
0.384 0.345 0.283
0.655 0.040 0.283
0.655 0.616 0.717
0.960 0.345 0.717
0.960 0.616 0.283
```

Results
**Space group**: P312 (149)
**D(E_F)**: 0.0 states/eV/cell
**M_tot**: 0.000 Bohr magnetons per cell
**Final energy**: -32.5 eV per cell
**Formation energy (no corrections)**: -1.552 eV per atom



7.
First-principles (PBE) data for an optimized crystal structure of KTlAsCl6, as listed in Alexandria.

POSCAR file:
```
KTlAsCl6
1.0
7.345 0.000 0.000
-3.672 6.361 0.000
0.000 0.000 6.396
K Tl As Cl
1 1 1 6
Direct
0.000 0.000 0.000
0.667 0.333 0.500
0.333 0.667 0.000
0.061 0.403 0.221
0.061 0.658 0.779
0.342 0.403 0.779
0.342 0.939 0.221
0.597 0.658 0.221
0.597 0.939 0.779
```

Results
**Space group**: P312 (149)
**D(E_F)**: 5.5 states/eV/cell
**M_tot**: 0.000 Bohr magnetons per cell
**Final energy**: -27.6 eV per cell
**Formation energy (no corrections)**: -0.935 eV per atom



8.
First-principles (PBE) data for an optimized crystal structure of K2TlAsCl6, as listed in Alexandria.

POSCAR file:
```
K2TlAsCl6
1.0
3.806 2.197 6.519
-3.806 2.197 6.519
0.000 -4.394 6.519
K Tl As Cl
2 1 1 6
Direct
0.000 0.000 0.000
0.491 0.491 0.491
0.211 0.211 0.211
0.702 0.702 0.702
0.021 0.476 0.822
0.377 0.906 0.587
0.476 0.822 0.021
0.587 0.377 0.906
0.822 0.021 0.476
0.906 0.587 0.377
```

Results
**Space group**: R3 (146)
**D(E_F)**: 0.0 states/eV/cell
**M_tot**: 0.000 Bohr magnetons per cell
**Final energy**: -32.9 eV per cell
**Formation energy (no corrections)**: -1.265 eV per atom



9.
First-principles (PBE) data for an optimized crystal structure of KY2AsCl, as listed in Alexandria.

POSCAR file:
```
KY2AsCl
1.0
5.166 0.000 0.000
0.000 5.166 0.000
0.000 0.000 6.020
K Y As Cl
1 2 1 1
Direct
0.000 0.000 0.000
0.000 0.500 0.500
0.500 0.000 0.500
0.500 0.500 0.000
0.500 0.500 0.500
```

Results
**Space group**: P4/mmm (123)
**D(E_F)**: 5.2 states/eV/cell
**M_tot**: 0.000 Bohr magnetons per cell
**Final energy**: -21.1 eV per cell
**Formation energy (no corrections)**: -0.123 eV per atom



10.
First-principles (PBE) data for an optimized crystal structure of K2ZnAsCl6, as listed in Alexandria.

POSCAR file:
```
K2ZnAsCl6
1.0
7.143 0.000 0.000
-0.001 7.294 0.000
-3.330 -3.224 5.638
K Zn As Cl
2 1 1 6
Direct
0.215 0.229 0.488
0.785 0.771 0.512
0.500 0.000 0.000
0.000 0.500 0.000
0.167 0.195 0.901
0.190 0.661 0.869
0.399 0.846 0.619
0.601 0.154 0.381
0.810 0.339 0.131
0.833 0.805 0.099
```

Results
**Space group**: P-1 (2)
**M_tot**: 1.000 Bohr magnetons per cell
**Final energy**: -31.1 eV per cell
**Formation energy (no corrections)**: -1.194 eV per atom



11.
First-principles (PBE) data for an optimized crystal structure of LaAsCl2, as listed in Alexandria.

POSCAR file:
```
LaAsCl2
1.0
0.000 3.666 3.666
3.666 0.000 3.666
3.666 3.666 0.000
La As Cl
1 1 2
Direct
0.000 0.000 0.000
0.750 0.750 0.750
0.250 0.250 0.250
0.500 0.500 0.500
```

Results
**Space group**: F-43m (216)
**D(E_F)**: 3.5 states/eV/cell
**M_tot**: 2.027 Bohr magnetons per cell
**Final energy**: -17.2 eV per cell
**Formation energy (no corrections)**: -0.975 eV per atom



12.
First-principles (PBE) data for an optimized crystal structure of LaAsCl2, as listed in Alexandria.

POSCAR file:
```
LaAsCl2
1.0
0.000 3.625 3.625
3.625 0.000 3.625
3.625 3.625 0.000
La As Cl
1 1 2
Direct
0.000 0.000 0.000
0.500 0.500 0.500
0.250 0.250 0.250
0.750 0.750 0.750
```

Results
**Space group**: Fm-3m (225)
**D(E_F)**: 3.4 states/eV/cell
**M_tot**: 2.000 Bohr magnetons per cell
**Final energy**: -17.3 eV per cell
**Formation energy (no corrections)**: -1.018 eV per atom



13.
First-principles (PBE) data for an optimized crystal structure of La2AsCl, as listed in Alexandria.

POSCAR file:
```
La2AsCl
1.0
0.000 3.710 3.710
3.710 0.000 3.710
3.710 3.710 0.000
La As Cl
2 1 1
Direct
0.000 0.000 0.000
0.250 0.250 0.250
0.750 0.750 0.750
0.500 0.500 0.500
```

Results
**Space group**: F-43m (216)
**D(E_F)**: 4.1 states/eV/cell
**M_tot**: 0.905 Bohr magnetons per cell
**Final energy**: -18.5 eV per cell
**Formation energy (no corrections)**: -0.544 eV per atom